The following is a DFT calculation (GGA-PBE) of crystalline MnIn2 at its relaxed geometry.

POSCAR file:
```
MnIn2
1.0
-1.5575 2.0667 4.1767
-2.3742 -3.8812 -1.8549
3.7306 -3.8596 3.3009
Mn In
2 4
Cartesian
-1.1693 -2.8635 0.9809 Mn
0.9683 -2.8107 4.6418 Mn
0.0000 0.0000 0.0000 In
1.8653 -1.9298 1.6505 In
0.6960 -4.7933 2.6313 In
-0.8970 -0.8809 2.9914 In
```

Output
Total DFT energy (no corrections): -27.280 eV for the cell shown
E_form: 1.0 eV per formula unit
Crystal system: hexagonal